1.
32
Lattice="11.456 -4.942 0.000 11.456 4.942 0.000 -1.932 0.000 9.184" Properties=species:S:1:pos:R:3 comment="RbAsSe2 meta-GGA SCAN PBEsol geometry" total_magnetization_mub_per_cell=0.000 dft_energy_ev_per_cell=-671.757 spacegroup="No. 15" pbc="T T T"
Rb 10.007 4.710 6.888
Rb 3.949 0.718 3.107
Rb 2.983 -0.718 7.699
Rb 10.007 0.354 6.888
Rb 10.973 -0.354 2.296
Rb 17.997 0.718 1.485
Rb 17.031 -0.718 6.077
Rb 10.973 -4.710 2.296
As 8.361 2.007 3.128
As 6.173 1.435 8.719
As 13.586 2.007 1.465
As 7.139 -1.435 4.126
As 13.841 1.435 5.058
As 7.394 -2.007 7.720
As 14.807 -1.435 0.466
As 12.620 -2.007 6.057
Se 1.260 0.782 5.175
Se 6.635 2.144 1.364
Se 2.226 -0.782 0.582
Se 10.195 2.266 0.124
Se 7.053 0.916 4.903
Se 11.751 2.266 4.468
Se 8.020 -0.916 0.311
Se 15.311 2.144 3.228
Se 5.669 -2.144 5.956
Se 12.961 0.916 8.873
Se 9.229 -2.266 4.716
Se 13.927 -0.916 4.281
Se 10.785 -2.266 9.060
Se 18.754 0.782 8.602
Se 14.345 -2.144 7.820
Se 19.720 -0.782 4.010

2.
5
Lattice="5.640 0.000 0.000 0.000 5.640 0.000 0.000 0.000 5.337" Properties=species:S:1:pos:R:3 comment="RbSrAsSe2 meta-GGA SCAN PBEsol geometry" total_magnetization_mub_per_cell=0.000 dft_energy_ev_per_cell=-102.301 spacegroup="No. 123" pbc="T T T"
Rb 0.000 0.000 0.000
Sr 2.820 2.820 2.669
As 0.000 0.000 2.669
Se 0.000 2.820 0.000
Se 2.820 0.000 0.000

3.
5
Lattice="5.525 0.000 0.000 0.000 5.525 0.000 0.000 0.000 5.335" Properties=species:S:1:pos:R:3 comment="RbTeAs2Se meta-GGA SCAN PBEsol geometry" total_magnetization_mub_per_cell=0.793 dft_energy_ev_per_cell=-110.055 spacegroup="No. 123" pbc="T T T"
Rb 0.000 0.000 0.000
Te 2.763 2.763 2.667
As 0.000 2.763 0.000
As 2.763 0.000 0.000
Se 0.000 0.000 2.667